The following is a GGA-PBE calculation of crystalline NaNbCu at its relaxed geometry, from OQMD.

Results
Spin magnetization in μB/f.u.: 0.01
Offset from the most stable computed form in kJ/mol of atoms: 0.0

Cell lengths 4.3391, 4.3391, 4.3391 Å; angles 60.00, 60.00, 60.00 degrees
With the nearest neighbours (Å) after each atom.
Sites, in units of the cell vectors:
Na (0.0000, 0.0000, 0.0000)  4 Cu 2.66
Nb (0.5000, 0.5000, 0.5000)  4 Cu 2.66
Cu (0.2500, 0.2500, 0.2500)  4 Nb 2.66, 4 Na 2.66